# KCa2CdOs | Alexandria via LeMat-Bulk | GGA-PBE | optimized geometry
# - Space group: P4/mmm (123)
# - Formation energy: 1.517 eV per atom
# - Total magnetization: 0.00 μB per cell
# - Density of states at the Fermi level: 3.53 states/eV/f.u.
# - Calculated total energy: -1.93 eV per atom
data_KCa2CdOs
_cell_length_a 5.6357
_cell_length_b 5.6357
_cell_length_c 4.6486
_cell_angle_alpha 90.00
_cell_angle_beta 90.00
_cell_angle_gamma 90.00
_symmetry_space_group_name_H-M 'P 1'
_symmetry_Int_Tables_number 1
_symmetry_space_group_name_Hall 'P 1'
loop_
_atom_site_label
_atom_site_type_symbol
_atom_site_fract_x
_atom_site_fract_y
_atom_site_fract_z
_atom_site_occupancy
K1 K 0.0000 0.0000 0.0000 1
Ca1 Ca 0.0000 0.5000 0.0000 1
Ca2 Ca 0.5000 0.0000 0.0000 1
Cd1 Cd 0.5000 0.5000 0.5000 1
Os1 Os 0.0000 0.0000 0.5000 1